## Li4Ge2P (GGA-PBE)

Data for crystalline Li4Ge2P at its relaxed geometry.

Properties
As for the symmetry: I4/mmm. The total energy is -3.25 eV per atom.

The structure in POSCAR format:
```
Li4Ge2P
1.0
4.799 0.000 0.000
0.000 4.799 0.000
2.399 2.399 6.220
P Ge Li
1 2 4
direct
0.000 0.000 0.000
0.401 0.401 0.198
0.599 0.599 0.802
0.192 0.192 0.616
0.808 0.808 0.384
0.000 0.500 0.000
0.500 0.000 0.000
```